Record 1
Here is an optimized crystal structure of Tm3Sb2Rh6 from the Alexandria database. Energies are from PBE-GGA.

abc: 8.169 8.169 8.169
angles: 109.47 109.47 109.47
Fractional coordinates of all 22 atoms:
Rh1 0.700 0.350 0.350
Rh2 0.350 0.650 0.000
Sb1 0.000 0.000 0.500
Rh3 0.350 0.350 0.700
Tm1 0.712 0.712 0.000
Rh4 0.650 0.300 0.650
Tm2 0.712 0.000 0.712
Rh5 0.650 0.000 0.350
Tm3 0.000 0.712 0.712
Tm4 0.288 0.000 0.288
Sb2 0.000 0.500 0.000
Rh6 0.350 0.700 0.350
Rh7 0.300 0.650 0.650
Tm5 0.000 0.288 0.288
Sb3 0.500 0.500 0.500
Rh8 0.650 0.650 0.300
Rh9 0.000 0.650 0.350
Sb4 0.500 0.000 0.000
Rh10 0.350 0.000 0.650
Rh11 0.000 0.350 0.650
Tm6 0.288 0.288 0.000
Rh12 0.650 0.350 0.000

Raw formation energy, meV/atom: -732
Spin magnetization, μB per cell: 0.0

***

Record 2
Here is an optimized crystal structure of Cu2HgBr from the Alexandria database. Energies are from PBE-GGA.

abc: 7.724 7.724 4.413
angles: 54.64 54.64 25.24
Fractional coordinates of all 4 atoms:
Cu1 0.657 0.657 0.685
Hg1 0.533 0.533 0.435
Br1 0.305 0.305 0.389
Cu2 0.005 0.005 0.991

Polymorph energy (0 for the lowest one), eV per atom: 0.059
Raw formation energy, meV/atom: 57
Spin magnetization, μB per cell: 0.0

***

Record 3
Here is an optimized crystal structure of KLiW3 from the Alexandria database. Energies are from PBE-GGA.

abc: 4.511 4.511 4.511
angles: 90.00 90.00 90.00
Fractional coordinates of all 5 atoms:
W1 0.000 0.500 0.000
W2 0.000 0.000 0.500
K1 0.500 0.500 0.500
W3 0.500 0.000 0.000
Li1 0.000 0.000 0.000

Polymorph energy (0 for the lowest one), eV per atom: 0.000
Spin magnetization, μB per cell: 0.0
Calculated formation energy, eV per atom: 2.4266

***

Record 4
Here is an optimized crystal structure of ZrTe4P from the Alexandria database. Energies are from PBE-GGA.

abc: 6.122 6.122 6.122
angles: 60.00 60.00 60.00
Fractional coordinates of all 6 atoms:
Te1 0.874 0.375 0.375
P1 0.000 0.000 0.000
Te2 0.375 0.874 0.375
Te3 0.375 0.375 0.375
Te4 0.375 0.375 0.874
Zr1 0.750 0.750 0.750

Raw formation energy, meV/atom: 746
Spin magnetization, μB per cell: 0.0